Material: Zr2Sc2Ga
Method: DFT, GGA-PBE
State: optimized geometry

Calculated values
Distance to the lowest polymorph of the same formula ... 15 meV per atom
Calculated density ... 4.68 g cm⁻³
Crystal system ... tetragonal
Magnetic moment ... 0.00 μB per atom

Cell lengths 8.3579, 8.3579, 8.3579 Å; angles 152.86, 152.86, 38.76 degrees
With the nearest neighbours (Å) after each atom.
Element x y z (fractional)
Sc: 0.5896 0.5896 0.0000  1 Sc 2.83, 4 Ga 3.11
Sc: 0.4104 0.4104 0.0000  1 Sc 2.83, 4 Ga 3.11
Zr: 0.7500 0.2500 0.5000  4 Zr 2.77
Zr: 0.2500 0.7500 0.5000  4 Zr 2.77
Ga: 0.0000 0.0000 0.0000  8 Sc 3.11